First-principles (PBE) data for a relaxed LiPrYTl crystal, as listed in Alexandria.

Unit cell a=5.4004 b=5.4004 c=5.4004 alpha=60.00 beta=60.00 gamma=60.00
Fractional coordinates of all 4 atoms:
Pr  0.2500  0.2500  0.2500
Y  0.7500  0.7500  0.7500
Li  0.0000  0.0000  0.0000
Tl  0.5000  0.5000  0.5000

Calculated values
- space group = F-43m

***

First-principles (PBE) data for a relaxed LiPrTm2 crystal, as listed in Alexandria.

Unit cell a=3.4782 b=3.4782 c=12.2687 alpha=81.85 beta=81.85 gamma=60.00
Fractional coordinates of all 4 atoms:
Tm  0.9124  0.9124  0.2629
Tm  0.0876  0.0876  0.7371
Pr  0.5000  0.5000  0.5000
Li  0.0000  0.0000  0.0000

Calculated values
- distance to the lowest polymorph of the same formula (meV/atom) = 130.4
- space group = R-3m

***

First-principles (PBE) data for a relaxed Li2PrTm crystal, as listed in Alexandria.

Unit cell a=3.7328 b=3.7328 c=7.5897 alpha=90.00 beta=90.00 gamma=90.00
Fractional coordinates of all 4 atoms:
Li  0.0000  0.0000  0.7589
Li  0.0000  0.0000  0.2411
Pr  0.5000  0.5000  0.5000
Tm  0.5000  0.5000  0.0000

Calculated values
- distance to the lowest polymorph of the same formula (meV/atom) = 0.0
- space group = P4/mmm

***

First-principles (PBE) data for a relaxed LiPr2Tm crystal, as listed in Alexandria.

Unit cell a=3.6697 b=3.6697 c=9.1848 alpha=90.00 beta=90.00 gamma=90.00
Fractional coordinates of all 4 atoms:
Pr  0.0000  0.0000  0.2328
Pr  0.0000  0.0000  0.7672
Li  0.5000  0.5000  0.0000
Tm  0.5000  0.5000  0.5000

Calculated values
- distance to the lowest polymorph of the same formula (meV/atom) = 0.0
- space group = P4/mmm

***

First-principles (PBE) data for a relaxed Li2PrTm crystal, as listed in Alexandria.

Unit cell a=5.3156 b=5.3156 c=5.3156 alpha=60.00 beta=60.00 gamma=60.00
Fractional coordinates of all 4 atoms:
Pr  0.5000  0.5000  0.5000
Li  0.2500  0.2500  0.2500
Li  0.7500  0.7500  0.7500
Tm  0.0000  0.0000  0.0000

Calculated values
- distance to the lowest polymorph of the same formula (meV/atom) = 0.8
- space group = Fm-3m

***

First-principles (PBE) data for a relaxed LiPrTm2 crystal, as listed in Alexandria.

Unit cell a=3.5081 b=3.5081 c=11.4218 alpha=81.20 beta=81.20 gamma=60.04
Fractional coordinates of all 4 atoms:
Li  0.6666  0.6666  0.0003
Tm  0.0788  0.0788  0.7632
Tm  0.2544  0.2544  0.2366
Pr  0.5002  0.5002  0.4998

Calculated values
- distance to the lowest polymorph of the same formula (meV/atom) = 54.9
- space group = R3m

***

Formation energy from the elements in eV/atom, matching the order above: -0.22 0.22 0.15 0.06 0.15 0.14